Record 1
Na2EuPt after structural relaxation, computed with PBE.

Results
V: 25.917 Å³/atom
total energy: -52.06 eV/cell

a = 3.1277 Å, b = 3.1277 Å, c = 36.7101 Å
α = 90.00°, β = 90.00°, γ = 120.00°
Space group R-3m (No. 166, hexagonal axes)
Unique sites:
Na (0.0000, 0.0000, 0.0742) x6
Eu (0.0000, 0.0000, 0.5000) x3
Pt (0.0000, 0.0000, 0.0000) x3

---

Record 2
NaEuPt after structural relaxation, computed with PBE.

Results
V: 24.654 Å³/atom
total energy: -18.58 eV/cell

a = 4.7817 Å, b = 4.7817 Å, c = 3.7352 Å
α = 90.00°, β = 90.00°, γ = 120.00°
Space group P3m1 (No. 156)
Unique sites:
Na (0.0000, 0.0000, 0.0000) x1
Eu (0.6667, 0.3333, 0.4597) x1
Pt (0.3333, 0.6667, 0.8876) x1

---

We obtain density values of 6.3; 8.3 g/cm³ for the records listed above, in that order.